Below is NaSiPd2F after structural relaxation, with properties calculated at the GGA-PBE level.

Geometry as POSCAR:
```
NaSiPd2F
1.0
4.4063 0.0000 0.0000
0.0000 4.4063 0.0000
0.0000 0.0000 6.8290
Na Si Pd F
1 1 2 1
direct
0.0000 0.0000 0.0000
0.0000 0.0000 0.5000
0.0000 0.5000 0.5000
0.5000 0.0000 0.5000
0.5000 0.5000 0.0000
```

Computed properties:
The volume comes out at 132.6 Å³ per cell. The uncorrected formation energy is -1.6 eV/f.u.

Below is NaAsRh2Cl after structural relaxation, with properties calculated at the GGA-PBE level.

Geometry as POSCAR:
```
NaAsRh2Cl
1.0
4.5138 0.0000 0.0000
0.0000 4.5138 0.0000
0.0000 0.0000 4.6911
Na As Rh Cl
1 1 2 1
direct
0.0000 0.0000 0.0000
0.5000 0.5000 0.0000
0.0000 0.5000 0.5000
0.5000 0.0000 0.5000
0.0000 0.0000 0.5000
```

Computed properties:
The excess energy over the best structure of this formula in the dataset comes out at 0 meV/atom. The volume comes out at 95.6 Å³ per cell. The uncorrected formation energy is 2.1 eV/f.u.

Below is Nd2Ga3Si after structural relaxation, with properties calculated at the GGA-PBE level.

Geometry as POSCAR:
```
Nd2Ga3Si
1.0
4.2168 0.0000 0.0000
0.0000 4.2786 0.0000
0.0000 0.0000 7.3061
Nd Ga Si
2 3 1
direct
0.0000 0.0000 0.0000
0.5000 0.0000 0.4891
0.0000 0.5000 0.3284
0.0000 0.5000 0.6635
0.5000 0.5000 0.8289
0.5000 0.5000 0.1594
```

Computed properties:
The volume comes out at 131.8 Å³ per cell. The uncorrected formation energy is -4.3 eV/f.u.

Below is Rb3NaU2Te6 after structural relaxation, with properties calculated at the GGA-PBE level.

Geometry as POSCAR:
```
Rb3NaU2Te6
1.0
4.0021 -6.9313 0.0000
4.0021 6.9313 0.0000
-2.6627 0.0000 8.4739
Rb Na U Te
3 1 2 6
direct
0.0000 0.0000 0.0000
0.3412 0.6588 0.0000
0.6588 0.3412 0.0000
0.5000 0.5000 0.5000
0.1675 0.8325 0.5000
0.8325 0.1675 0.5000
0.0771 0.4330 0.2997
0.2113 0.2113 0.6970
0.4330 0.0771 0.2997
0.5670 0.9229 0.7003
0.7887 0.7887 0.3030
0.9229 0.5670 0.7003
```

Computed properties:
The volume comes out at 470.1 Å³ per cell. The uncorrected formation energy is -11.0 eV/f.u.

Below is Mn2FeRu after structural relaxation, with properties calculated at the GGA-PBE level.

Geometry as POSCAR:
```
Mn2FeRu
1.0
2.7880 0.0000 0.0000
0.0000 4.2874 0.0000
0.0000 0.0000 8.2971
Mn Fe Ru
4 2 2
direct
0.0000 0.0000 0.2413
0.0000 0.0000 0.7587
0.5000 0.5000 0.2413
0.5000 0.5000 0.7587
0.0000 0.5000 0.0000
0.5000 0.0000 0.0000
0.0000 0.5000 0.5000
0.5000 0.0000 0.5000
```

Computed properties:
The excess energy over the best structure of this formula in the dataset comes out at 230 meV/atom. As for the formation energy: 1.0 eV per formula unit. The volume comes out at 99.2 Å³ per cell.

Below is CsNaTe after structural relaxation, with properties calculated at the GGA-PBE level.

Geometry as POSCAR:
```
CsNaTe
1.0
8.3088 0.0000 0.0000
0.0000 8.3088 0.0000
0.0000 0.0000 8.3088
Cs Na Te
4 4 4
direct
0.1676 0.1676 0.1676
0.3324 0.8324 0.6676
0.6676 0.3324 0.8324
0.8324 0.6676 0.3324
0.1495 0.3505 0.6495
0.3505 0.6495 0.1495
0.6495 0.1495 0.3505
0.8505 0.8505 0.8505
0.0606 0.5606 0.9394
0.4394 0.4394 0.4394
0.5606 0.9394 0.0606
0.9394 0.0606 0.5606
```

Computed properties:
The volume comes out at 573.6 Å³ per cell. The uncorrected formation energy is -2.9 eV/f.u.

Below is CsLiHg2 after structural relaxation, with properties calculated at the GGA-PBE level.

Geometry as POSCAR:
```
CsLiHg2
1.0
4.9465 0.0000 0.0000
-2.4733 4.2838 0.0000
0.0000 0.0000 20.5239
Cs Li Hg
3 3 6
direct
0.0000 0.0000 0.0000
0.3333 0.6667 0.6667
0.6667 0.3333 0.3333
0.0000 0.0000 0.8197
0.3333 0.6667 0.4864
0.6667 0.3333 0.1530
0.0000 0.0000 0.1901
0.0000 0.0000 0.4734
0.3333 0.6667 0.1401
0.3333 0.6667 0.8568
0.6667 0.3333 0.5235
0.6667 0.3333 0.8068
```

Computed properties:
The excess energy over the best structure of this formula in the dataset comes out at 20 meV/atom. As for the formation energy: -0.9 eV per formula unit. The volume comes out at 434.9 Å³ per cell.

Below is BaYS2 after structural relaxation, with properties calculated at the GGA-PBE level.

Geometry as POSCAR:
```
BaYS2
1.0
4.0572 0.0000 0.0000
-2.0286 3.5136 0.0000
0.0000 0.0000 22.2730
Ba Y S
3 3 6
direct
0.0000 0.0000 0.0000
0.3333 0.6667 0.6667
0.6667 0.3333 0.3333
0.0000 0.0000 0.1732
0.3333 0.6667 0.8399
0.6667 0.3333 0.5066
0.0000 0.0000 0.5738
0.0000 0.0000 0.7685
0.3333 0.6667 0.2404
0.3333 0.6667 0.4351
0.6667 0.3333 0.1018
0.6667 0.3333 0.9071
```

Computed properties:
The excess energy over the best structure of this formula in the dataset comes out at 66 meV/atom. The volume comes out at 317.5 Å³ per cell. The uncorrected formation energy is -7.8 eV/f.u.

Below is Tm2ScCu after structural relaxation, with properties calculated at the GGA-PBE level.

Geometry as POSCAR:
```
Tm2ScCu
1.0
6.6021 0.0000 0.0000
0.0000 9.1213 0.0000
0.0000 0.0000 6.3797
Tm Sc Cu
8 4 4
direct
0.2018 0.0572 0.1974
0.2018 0.4428 0.1974
0.2982 0.5572 0.6974
0.2982 0.9428 0.6974
0.7018 0.0572 0.3026
0.7018 0.4428 0.3026
0.7982 0.5572 0.8026
0.7982 0.9428 0.8026
0.0204 0.2500 0.6186
0.4796 0.7500 0.1186
0.5204 0.2500 0.8814
0.9796 0.7500 0.3814
0.0783 0.7500 0.9801
0.4217 0.2500 0.4801
0.5783 0.7500 0.5199
0.9217 0.2500 0.0199
```

Computed properties:
The excess energy over the best structure of this formula in the dataset comes out at 0 meV/atom. As for the formation energy: -0.5 eV per formula unit. The volume comes out at 384.2 Å³ per cell.

Below is CeThIrPd after structural relaxation, with properties calculated at the GGA-PBE level.

Geometry as POSCAR:
```
CeThIrPd
1.0
4.3064 0.0000 0.0000
0.0000 3.9060 0.0000
0.0000 0.0000 11.2574
Ce Th Ir Pd
2 2 2 2
direct
0.0000 0.0000 0.0000
0.0000 0.5000 0.5000
0.5000 0.0000 0.7262
0.5000 0.5000 0.2262
0.0000 0.0000 0.2611
0.0000 0.5000 0.7611
0.5000 0.0000 0.4528
0.5000 0.5000 0.9528
```

Computed properties:
The excess energy over the best structure of this formula in the dataset comes out at 0 meV/atom. As for the formation energy: -3.3 eV per formula unit. The volume comes out at 189.4 Å³ per cell.

Below is Cs2GaIrAu after structural relaxation, with properties calculated at the GGA-PBE level.

Geometry as POSCAR:
```
Cs2GaIrAu
1.0
6.9449 0.0000 0.0000
0.0000 6.9449 0.0000
0.0000 0.0000 4.6408
Cs Ga Ir Au
2 1 1 1
direct
0.0000 0.5000 0.0000
0.5000 0.0000 0.0000
0.0000 0.0000 0.0000
0.0000 0.0000 0.5000
0.5000 0.5000 0.5000
```

Computed properties:
As for the formation energy: 2.0 eV per formula unit. The volume comes out at 223.8 Å³ per cell.

Below is Rb2SeBr4 after structural relaxation, with properties calculated at the GGA-PBE level.

Geometry as POSCAR:
```
Rb2SeBr4
1.0
7.8119 0.0000 0.0000
0.0000 7.8119 0.0000
0.0000 0.0000 9.3008
Rb Se Br
4 2 8
direct
0.0000 0.5000 0.2500
0.0000 0.5000 0.7500
0.5000 0.0000 0.2500
0.5000 0.0000 0.7500
0.0000 0.0000 0.0000
0.5000 0.5000 0.5000
0.2383 0.2383 0.0000
0.2383 0.7617 0.0000
0.2617 0.2617 0.5000
0.2617 0.7383 0.5000
0.7383 0.2617 0.5000
0.7383 0.7383 0.5000
0.7617 0.2383 0.0000
0.7617 0.7617 0.0000
```

Computed properties:
The excess energy over the best structure of this formula in the dataset comes out at 0 meV/atom. The volume comes out at 567.6 Å³ per cell. The uncorrected formation energy is -7.5 eV/f.u.

Below is Cu2AsS3 after structural relaxation, with properties calculated at the GGA-PBE level.

Geometry as POSCAR:
```
Cu2AsS3
1.0
5.4446 -3.6319 0.0000
5.4446 3.6319 0.0000
0.0000 0.0000 6.1129
Cu As S
4 2 6
direct
0.0233 0.3277 0.0000
0.3277 0.0233 0.5000
0.6723 0.9767 0.0000
0.9767 0.6723 0.5000
0.3059 0.6941 0.9845
0.6941 0.3059 0.4845
0.0279 0.3225 0.3720
0.2646 0.7354 0.3506
0.3225 0.0279 0.8720
0.6775 0.9721 0.3720
0.7354 0.2646 0.8506
0.9721 0.6775 0.8720
```

Computed properties:
The excess energy over the best structure of this formula in the dataset comes out at 0 meV/atom. The volume comes out at 241.8 Å³ per cell. The uncorrected formation energy is -1.0 eV/f.u.

Below is YNpSe2S after structural relaxation, with properties calculated at the GGA-PBE level.

Geometry as POSCAR:
```
YNpSe2S
1.0
4.1501 0.0000 0.0000
0.0000 4.1501 0.0000
0.0000 0.0000 14.4389
Y Np Se S
2 2 4 2
direct
0.2500 0.2500 0.1072
0.7500 0.7500 0.8928
0.2500 0.2500 0.6190
0.7500 0.7500 0.3810
0.2500 0.2500 0.2983
0.2500 0.2500 0.9014
0.7500 0.7500 0.0986
0.7500 0.7500 0.7017
0.2500 0.7500 0.5000
0.7500 0.2500 0.5000
```

Computed properties:
The volume comes out at 248.7 Å³ per cell. The uncorrected formation energy is -7.2 eV/f.u.

Below is PmMnOs after structural relaxation, with properties calculated at the GGA-PBE level.

Geometry as POSCAR:
```
PmMnOs
1.0
5.2255 0.0000 0.0000
0.0000 5.4727 0.0000
0.0000 0.0000 7.7222
Pm Mn Os
4 4 4
direct
0.0000 0.2500 0.1216
0.0000 0.7500 0.8784
0.5000 0.2500 0.3784
0.5000 0.7500 0.6216
0.0000 0.0000 0.5000
0.0000 0.5000 0.5000
0.5000 0.0000 0.0000
0.5000 0.5000 0.0000
0.2500 0.2500 0.7500
0.2500 0.7500 0.2500
0.7500 0.2500 0.7500
0.7500 0.7500 0.2500
```

Computed properties:
As for the formation energy: -0.3 eV per formula unit. The volume comes out at 220.8 Å³ per cell.

Below is TlInBr6 after structural relaxation, with properties calculated at the GGA-PBE level.

Geometry as POSCAR:
```
TlInBr6
1.0
6.8546 0.0000 0.0000
0.0000 12.6794 0.0000
-2.2277 0.0000 6.4809
Tl In Br
2 2 12
direct
0.0000 0.0000 0.0000
0.5000 0.5000 0.0000
0.0000 0.5000 0.5000
0.5000 0.0000 0.5000
0.2423 0.5000 0.2573
0.2465 0.3491 0.7463
0.2465 0.6509 0.7463
0.2535 0.1509 0.2537
0.2535 0.8491 0.2537
0.2577 0.0000 0.7427
0.7423 0.0000 0.2573
0.7465 0.1509 0.7463
0.7465 0.8491 0.7463
0.7535 0.3491 0.2537
0.7535 0.6509 0.2537
0.7577 0.5000 0.7427
```

Computed properties:
The excess energy over the best structure of this formula in the dataset comes out at 0 meV/atom. The volume comes out at 563.3 Å³ per cell. The uncorrected formation energy is -4.4 eV/f.u.

Below is Sr3RhC after structural relaxation, with properties calculated at the GGA-PBE level.

Geometry as POSCAR:
```
Sr3RhC
1.0
5.2356 0.0000 0.0000
0.0000 5.2356 0.0000
0.0000 0.0000 5.2356
Sr Rh C
3 1 1
direct
0.0000 0.0000 0.5000
0.0000 0.5000 0.0000
0.5000 0.0000 0.0000
0.5000 0.5000 0.5000
0.0000 0.0000 0.0000
```

Computed properties:
The excess energy over the best structure of this formula in the dataset comes out at 0 meV/atom. As for the formation energy: 2.3 eV per formula unit. The volume comes out at 143.5 Å³ per cell.

Below is Sr2WAu after structural relaxation, with properties calculated at the GGA-PBE level.

Geometry as POSCAR:
```
Sr2WAu
1.0
4.6232 0.0000 0.0000
0.0000 4.6232 0.0000
0.0000 0.0000 10.4464
Sr W Au
4 2 2
direct
0.0000 0.0000 0.0000
0.0000 0.5000 0.2500
0.5000 0.0000 0.7500
0.5000 0.5000 0.5000
0.0000 0.5000 0.7500
0.5000 0.0000 0.2500
0.0000 0.0000 0.5000
0.5000 0.5000 0.0000
```

Computed properties:
The excess energy over the best structure of this formula in the dataset comes out at 308 meV/atom. As for the formation energy: 3.3 eV per formula unit. The volume comes out at 223.3 Å³ per cell.

Below is BaSeF after structural relaxation, with properties calculated at the GGA-PBE level.

Geometry as POSCAR:
```
BaSeF
1.0
7.7243 0.0000 0.0000
0.0000 4.6903 0.0000
-0.1478 0.0000 9.1990
Ba Se F
4 4 4
direct
0.1910 0.1989 0.1277
0.1910 0.3011 0.6277
0.8090 0.6989 0.3723
0.8090 0.8011 0.8723
0.5004 0.1548 0.3897
0.5004 0.3452 0.8897
0.4996 0.6548 0.1103
0.4996 0.8452 0.6103
0.0025 0.2250 0.3743
0.0025 0.2750 0.8743
0.9975 0.7250 0.1257
0.9975 0.7750 0.6257
```

Computed properties:
The volume comes out at 333.3 Å³ per cell. The uncorrected formation energy is -7.7 eV/f.u.

Below is YAlSe3 after structural relaxation, with properties calculated at the GGA-PBE level.

Geometry as POSCAR:
```
YAlSe3
1.0
-5.0905 5.0905 5.1379
5.0905 -5.0905 5.1379
5.0905 5.0905 -5.1379
Y Al Se
2 2 6
direct
0.1872 0.1872 0.0000
0.8128 0.8128 0.0000
0.5000 0.5000 0.0000
0.7500 0.2500 0.5000
0.1663 0.3551 0.8112
0.5323 0.0323 0.5000
0.5439 0.3551 0.1888
0.6449 0.4561 0.8112
0.6449 0.8337 0.1888
0.9677 0.4677 0.5000
```

Computed properties:
The excess energy over the best structure of this formula in the dataset comes out at 1041 meV/atom. The volume comes out at 532.6 Å³ per cell. The uncorrected formation energy is -1.6 eV/f.u.